1.
## MgPW2 (PBE)

Data for a relaxed MgPW2 crystal.

Results
* ΔE_f: 6.00 kcal/mol of atoms
* crystal system: trigonal
* DOS at the Fermi energy: 0.530 states/eV per atom
* V: 16.031 A^3/atom
* magnetic moment: 0.00 μB per cell
* calculated total energy: -7.97 eV per atom
* space-group type: R-3m, No. 166

Cell: 8.6915 8.6915 8.6915 Å, 19.52 19.52 19.52°
Last column: nearest neighbours and their distance in Å.
Atoms (fractional coordinates):
Mg1 0.2500 0.2500 0.2500  6 Mg 2.95, 6 W 2.96
P1 0.7500 0.7500 0.7500  6 W 2.51
W1 0.0113 0.0113 0.0113  3 P 2.51
W2 0.4887 0.4887 0.4887  3 P 2.51

=====

2.
## Sr5Tl2Si2 (PBE)

Data for a relaxed Sr5Tl2Si2 crystal.

Results
* crystal system: orthorhombic
* E_form (uncorrected): -362.7 meV/atom
* DOS at the Fermi energy: 1.031 states/eV per atom
* V: 33.615 A^3/atom
* magnetic moment: 0.00 μB per cell
* calculated total energy: -3.03 eV per atom
* space-group type: Cmce, No. 64

Cell: 8.1451 8.1326 10.0010 Å, 90.00 65.97 90.00°
Last column: nearest neighbours and their distance in Å.
Atoms (fractional coordinates):
Sr1 0.0000 0.0000 0.0000  4 Si 3.32-3.33
Sr2 0.5000 0.5000 0.0000  4 Si 3.32-3.33
Sr3 0.4429 0.1797 0.7495  3 Si 3.32-3.36, 3 Tl 3.46-3.48
Sr4 0.8076 0.8203 0.7495  3 Si 3.32-3.36, 3 Tl 3.46-3.48
Sr5 0.3076 0.6797 0.7495  3 Si 3.32-3.36, 3 Tl 3.46-3.48
Sr6 0.9429 0.3203 0.7495  3 Si 3.32-3.36, 3 Tl 3.46-3.48
Sr7 0.5571 0.8203 0.2505  3 Si 3.32-3.36, 3 Tl 3.46-3.48
Sr8 0.1924 0.1797 0.2505  3 Si 3.32-3.36, 3 Tl 3.46-3.48
Sr9 0.6924 0.3203 0.2505  3 Si 3.32-3.36, 3 Tl 3.46-3.48
Sr10 0.0571 0.6797 0.2505  3 Si 3.32-3.36, 3 Tl 3.46-3.48
Tl1 0.2222 0.0000 0.5557  6 Sr 3.46-3.48
Tl2 0.7222 0.5000 0.5557  6 Sr 3.46-3.48
Tl3 0.7778 0.0000 0.4443  6 Sr 3.46-3.48
Tl4 0.2778 0.5000 0.4443  6 Sr 3.46-3.48
Si1 0.1053 0.3938 0.0000  1 Si 2.43
Si2 0.8947 0.6062 0.0000  1 Si 2.43
Si3 0.3947 0.8938 0.0000  1 Si 2.43
Si4 0.6053 0.1062 0.0000  1 Si 2.43

=====

3.
## CsBi2Os (PBE)

Data for a relaxed CsBi2Os crystal.

Results
* ΔE_f: 23.55 kcal/mol of atoms
* crystal system: cubic
* DOS at the Fermi energy: 0.603 states/eV per atom
* V: 26.816 A^3/atom
* magnetic moment: 0.00 μB per cell
* calculated total energy: -3.94 eV per atom
* space-group type: Fm-3m, No. 225

Cell: 5.3332 5.3332 5.3332 Å, 60.00 60.00 60.00°
Last column: nearest neighbours and their distance in Å.
Atoms (fractional coordinates):
Cs1 0.0000 0.0000 0.0000  8 Bi 3.27
Os1 0.5000 0.5000 0.5000  8 Bi 3.27
Bi1 0.2500 0.2500 0.2500  4 Os 3.27, 4 Cs 3.27
Bi2 0.7500 0.7500 0.7500  4 Os 3.27, 4 Cs 3.27

=====

4.
## Al5Ni2P (PBE)

Data for a relaxed Al5Ni2P crystal.

Results
* ΔE_f: -3.82 kcal/mol of atoms
* crystal system: orthorhombic
* DOS at the Fermi energy: 0.337 states/eV per atom
* V: 14.722 A^3/atom
* magnetic moment: 0.00 μB per cell
* calculated total energy: -4.63 eV per atom
* space-group type: Immm, No. 71

Cell: 6.3163 6.3163 6.3163 Å, 150.48 104.26 83.30°
Last column: nearest neighbours and their distance in Å.
Atoms (fractional coordinates):
Al1 0.5000 0.0000 0.5000  2 Ni 2.44, 8 Al 2.67
Al2 0.4264 0.6415 0.7849  3 Ni 2.40-2.57, 5 Al 2.66-2.67
Al3 0.5736 0.3585 0.2151  3 Ni 2.40-2.57, 5 Al 2.66-2.67
Al4 0.8566 0.6415 0.2151  3 Ni 2.40-2.57, 5 Al 2.66-2.67
Al5 0.1434 0.3585 0.7849  3 Ni 2.40-2.57, 5 Al 2.66-2.67
Ni1 0.7582 0.2582 0.5000  7 Al 2.40-2.57
Ni2 0.2418 0.7418 0.5000  7 Al 2.40-2.57
P1 0.0000 0.0000 0.0000  4 Ni 2.79, 8 Al 3.04

=====

5.
## Pr2GdPb (PBE)

Data for a relaxed Pr2GdPb crystal.

Results
* ΔE_f: 0.60 kcal/mol of atoms
* crystal system: trigonal
* DOS at the Fermi energy: 1.712 states/eV per atom
* V: 33.636 A^3/atom
* magnetic moment: 8.10 μB per cell
* calculated total energy: -6.81 eV per atom
* space-group type: R-3m, No. 166

Cell: 3.5538 3.5538 12.4709 Å, 81.81 81.81 60.00°
Last column: nearest neighbours and their distance in Å.
Atoms (fractional coordinates):
Pb1 0.5000 0.5000 0.5000  6 Pr 3.46, 6 Pb 3.55
Pr1 0.0913 0.0913 0.7260  1 Gd 3.37, 3 Pb 3.46, 6 Pr 3.55
Pr2 0.9087 0.9087 0.2740  1 Gd 3.37, 3 Pb 3.46, 6 Pr 3.55
Gd1 0.0000 0.0000 0.0000  2 Pr 3.37, 6 Gd 3.55

=====

6.
## Nd3SmSc2Se6 (PBE)

Data for a relaxed Nd3SmSc2Se6 crystal.

Results
* crystal system: monoclinic
* E_form (uncorrected): -1737.4 meV/atom
* DOS at the Fermi energy: 0.482 states/eV per atom
* V: 24.480 A^3/atom
* magnetic moment: 0.00 μB per cell
* calculated total energy: -6.12 eV per atom
* space-group type: C2/m, No. 12

Cell: 7.0722 7.0722 7.1949 Å, 99.43 99.43 120.19°
Last column: nearest neighbours and their distance in Å.
Atoms (fractional coordinates):
Nd1 0.1587 0.8413 0.5000  6 Se 2.96-3.03
Nd2 0.8413 0.1587 0.5000  6 Se 2.96-3.03
Nd3 0.5000 0.5000 0.5000  6 Se 2.93-3.03
Sm1 0.0000 0.0000 0.0000  6 Se 2.89-2.92
Sc1 0.3346 0.6654 0.0000  6 Se 2.75-2.79
Sc2 0.6654 0.3346 0.0000  6 Se 2.75-2.79
Se1 0.9236 0.5745 0.7691  2 Sc 2.79, 1 Sm 2.92, 3 Nd 2.96-3.03
Se2 0.7263 0.7263 0.2242  2 Sc 2.75, 1 Sm 2.89, 3 Nd 2.93-2.99
Se3 0.0764 0.4255 0.2309  2 Sc 2.79, 1 Sm 2.92, 3 Nd 2.96-3.03
Se4 0.5745 0.9236 0.7691  2 Sc 2.79, 1 Sm 2.92, 3 Nd 2.96-3.03
Se5 0.2737 0.2737 0.7758  2 Sc 2.75, 1 Sm 2.89, 3 Nd 2.93-2.99
Se6 0.4255 0.0764 0.2309  2 Sc 2.79, 1 Sm 2.92, 3 Nd 2.96-3.03

=====

7.
## Hg2SbRh (PBE)

Data for a relaxed Hg2SbRh crystal.

Results
* crystal system: monoclinic
* E_form (uncorrected): -14.0 meV/atom
* DOS at the Fermi energy: 0.459 states/eV per atom
* V: 22.845 A^3/atom
* magnetic moment: 0.00 μB per cell
* calculated total energy: -3.03 eV per atom
* space-group type: Pm, No. 6

Cell: 3.3874 3.7104 7.5057 Å, 75.62 90.00 90.00°
Last column: nearest neighbours and their distance in Å.
Atoms (fractional coordinates):
Hg1 0.0000 0.0621 0.0070  1 Rh 3.14, 6 Hg 3.14-3.39, 4 Sb 3.32-3.34
Hg2 0.5000 0.6918 0.7462  2 Rh 2.80
Sb1 0.5000 0.4059 0.3081  4 Rh 2.69
Rh1 0.0000 0.8401 0.4388  4 Sb 2.69, 2 Hg 2.80

=====

8.
## PaZnGeSe (PBE)

Data for a relaxed PaZnGeSe crystal.

Results
* crystal system: tetragonal
* E_form (uncorrected): -573.3 meV/atom
* DOS at the Fermi energy: 0.926 states/eV per atom
* V: 20.385 A^3/atom
* magnetic moment: 0.96 μB per cell
* calculated total energy: -5.29 eV per atom
* space-group type: P4/nmm, No. 129

Cell: 4.3467 4.3467 8.6316 Å, 90.00 90.00 90.00°
Last column: nearest neighbours and their distance in Å.
Atoms (fractional coordinates):
Pa1 0.5000 0.0000 0.7243  4 Se 2.91, 4 Ge 3.19, 4 Zn 3.22
Pa2 0.0000 0.5000 0.2757  4 Se 2.91, 4 Ge 3.19, 4 Zn 3.22
Zn1 0.5000 0.5000 0.0000  4 Ge 2.65
Zn2 0.0000 0.0000 0.0000  4 Ge 2.65
Ge1 0.0000 0.5000 0.8239  4 Zn 2.65
Ge2 0.5000 0.0000 0.1761  4 Zn 2.65
Se1 0.0000 0.0000 0.5000  4 Pa 2.91, 4 Se 3.07
Se2 0.5000 0.5000 0.5000  4 Pa 2.91, 4 Se 3.07

=====

9.
## Al2Rh (PBE)

Data for a relaxed Al2Rh crystal.

Results
* ΔE_f: -13.83 kcal/mol of atoms
* crystal system: monoclinic
* DOS at the Fermi energy: 0.305 states/eV per atom
* V: 14.888 A^3/atom
* magnetic moment: 0.00 μB per cell
* calculated total energy: -5.55 eV per atom
* space-group type: Pm, No. 6

Cell: 2.9122 8.2744 8.0123 Å, 67.72 90.00 90.00°
Last column: nearest neighbours and their distance in Å.
Atoms (fractional coordinates):
Rh1 0.0000 0.3202 0.9778  9 Al 2.54-2.78
Rh2 0.0000 0.6606 0.0455  7 Al 2.49-2.66
Rh3 0.0000 0.8215 0.4879  8 Al 2.55-2.76
Rh4 0.5000 0.9490 0.7451  6 Al 2.49-2.62
Al1 0.0000 0.9905 0.9809  4 Rh 2.51-2.72, 4 Al 2.68-2.76
Al2 0.5000 0.0778 0.2380  8 Al 2.66-2.91, 4 Rh 2.71-2.72
Al3 0.0000 0.1462 0.5004  3 Rh 2.49-2.73, 2 Al 2.79
Al4 0.5000 0.2539 0.7518  3 Rh 2.54, 4 Al 2.65-2.68
Al5 0.5000 0.4076 0.2134  4 Rh 2.49-2.69, 1 Al 2.66
Al6 0.0000 0.5036 0.5162  1 Rh 2.55, 4 Al 2.65-2.72
Al7 0.5000 0.6193 0.7865  7 Rh 2.62-2.78, 2 Al 2.91
Al8 0.5000 0.7498 0.2566  4 Rh 2.54-2.60, 5 Al 2.66-2.76

=====

10.
## Zr2Ga5PdRu2 (PBE)

Data for a relaxed Zr2Ga5PdRu2 crystal.

Results
* ΔE_f: -9.91 kcal/mol of atoms
* crystal system: tetragonal
* DOS at the Fermi energy: 0.645 states/eV per atom
* V: 16.923 A^3/atom
* magnetic moment: 0.00 μB per cell
* calculated total energy: -6.03 eV per atom
* space-group type: P4/mbm, No. 127

Cell: 4.0815 9.1063 9.1063 Å, 90.00 90.00 90.00°
Last column: nearest neighbours and their distance in Å.
Atoms (fractional coordinates):
Zr1 0.0000 0.6769 0.1769  3 Ru 2.61-2.75
Zr2 0.0000 0.3231 0.8231  3 Ru 2.61-2.75
Zr3 0.0000 0.1769 0.3231  3 Ru 2.61-2.75
Zr4 0.0000 0.8231 0.6769  3 Ru 2.61-2.75
Ga1 0.5000 0.2028 0.0639  2 Ru 2.65, 3 Ga 2.74-2.77, 2 Pd 2.81
Ga2 0.5000 0.7972 0.9361  2 Ru 2.65, 3 Ga 2.74-2.77, 2 Pd 2.81
Ga3 0.5000 0.0639 0.7972  2 Ru 2.65, 3 Ga 2.74-2.77, 2 Pd 2.81
Ga4 0.5000 0.7028 0.4361  2 Ru 2.65, 3 Ga 2.74-2.77, 2 Pd 2.81
Ga5 0.5000 0.9361 0.2028  2 Ru 2.65, 3 Ga 2.74-2.77, 2 Pd 2.81
Ga6 0.5000 0.2972 0.5639  2 Ru 2.65, 3 Ga 2.74-2.77, 2 Pd 2.81
Ga7 0.5000 0.5639 0.7028  2 Ru 2.65, 3 Ga 2.74-2.77, 2 Pd 2.81
Ga8 0.5000 0.4361 0.2972  2 Ru 2.65, 3 Ga 2.74-2.77, 2 Pd 2.81
Ga9 0.5000 0.5000 0.0000  4 Ru 2.56, 4 Ga 2.77
Ga10 0.5000 0.0000 0.5000  4 Ru 2.56, 4 Ga 2.77
Pd1 0.0000 0.0000 0.0000  8 Ga 2.81
Pd2 0.0000 0.5000 0.5000  8 Ga 2.81
Ru1 0.0000 0.1202 0.6202  6 Ga 2.56-2.65, 3 Zr 2.61-2.75
Ru2 0.0000 0.8798 0.3798  6 Ga 2.56-2.65, 3 Zr 2.61-2.75
Ru3 0.0000 0.6202 0.8798  6 Ga 2.56-2.65, 3 Zr 2.61-2.75
Ru4 0.0000 0.3798 0.1202  6 Ga 2.56-2.65, 3 Zr 2.61-2.75

=====

11.
## SrLiDyTe3 (PBE)

Data for a relaxed SrLiDyTe3 crystal.

Results
* crystal system: monoclinic
* E_form (uncorrected): -1416.6 meV/atom
* V: 32.278 A^3/atom
* magnetic moment: 0.00 μB per cell
* calculated total energy: -4.35 eV per atom
* space-group type: P2_1/m, No. 11

Cell: 4.4448 9.1780 9.7804 Å, 103.88 90.00 90.00°
Last column: nearest neighbours and their distance in Å.
Atoms (fractional coordinates):
Sr1 0.2500 0.1888 0.2416  7 Te 3.39-3.51, 1 Li 3.73
Sr2 0.7500 0.8112 0.7584  7 Te 3.39-3.51, 1 Li 3.73
Li1 0.2500 0.0846 0.5880  4 Te 2.74-2.79, 2 Li 3.01
Li2 0.7500 0.9154 0.4120  4 Te 2.74-2.79, 2 Li 3.01
Dy1 0.2500 0.6713 0.1628  6 Te 3.07-3.13
Dy2 0.7500 0.3287 0.8372  6 Te 3.07-3.13
Te1 0.7500 0.8955 0.1276  1 Li 2.74
Te2 0.2500 0.1045 0.8724  1 Li 2.74
Te3 0.2500 0.7733 0.4856  3 Li 2.76-2.79, 1 Dy 3.07
Te4 0.7500 0.2267 0.5144  3 Li 2.76-2.79, 1 Dy 3.07
Te5 0.7500 0.4376 0.1659  3 Dy 3.09-3.13, 2 Sr 3.39
Te6 0.2500 0.5624 0.8341  3 Dy 3.09-3.13, 2 Sr 3.39

=====

12.
## Ca2ZrCd (PBE)

Data for a relaxed Ca2ZrCd crystal.

Results
* ΔE_f: 2.89 kcal/mol of atoms
* crystal system: monoclinic
* DOS at the Fermi energy: 1.243 states/eV per atom
* V: 29.295 A^3/atom
* magnetic moment: 0.61 μB per cell
* calculated total energy: -3.24 eV per atom
* space-group type: Cm, No. 8

Cell: 6.7439 6.7439 5.5442 Å, 65.74 65.74 30.91°
Last column: nearest neighbours and their distance in Å.
Atoms (fractional coordinates):
Ca1 0.9939 0.9939 0.0063  4 Cd 3.31, 2 Ca 3.59
Ca2 0.7788 0.7788 0.7208  2 Cd 3.28, 4 Zr 3.39, 2 Ca 3.59
Zr1 0.2150 0.2150 0.2845  2 Cd 2.99
Cd1 0.5123 0.5123 0.4884  2 Zr 2.99, 6 Ca 3.28-3.31

=====

Which of these has the lowest V?
Al5Ni2P